Below is a geometry-optimized Rb3Te2Se4 structure, with properties calculated at the PBE-GGA level.

Cell: 9.742 10.047 9.551 Å, 121.73 97.30 90.00°
Positions (direct):
Se1 0.522 0.237 0.118
Se2 0.478 0.763 0.882
Se3 0.978 0.120 0.882
Se4 0.309 0.753 0.385
Se5 0.809 0.632 0.385
Se6 0.191 0.368 0.615
Se7 0.691 0.247 0.615
Se8 0.022 0.880 0.118
Rb1 0.627 0.967 0.718
Rb2 0.373 0.033 0.282
Rb3 0.250 0.407 0.000
Rb4 0.873 0.250 0.282
Rb5 0.127 0.750 0.718
Rb6 0.750 0.593 0.000
Te1 0.562 0.522 0.359
Te2 0.062 0.837 0.359
Te3 0.938 0.163 0.641
Te4 0.438 0.478 0.641

Results
uncorrected formation energy: -0.65 eV per atom
energy above the most stable polymorph in this dataset: 0.0 kJ/mol of atoms

---

Below is a geometry-optimized TmSO structure, with properties calculated at the PBE-GGA level.

Cell: 3.537 3.537 11.280 Å, 80.98 80.98 60.00°
Positions (direct):
Tm1 0.075 0.075 0.774
Tm2 0.925 0.925 0.226
S1 0.199 0.199 0.403
S2 0.801 0.801 0.597
O1 0.388 0.388 0.836
O2 0.612 0.612 0.164

Results
uncorrected formation energy: -2.08 eV per atom

---

Below is a geometry-optimized CaHo4Zn5 structure, with properties calculated at the PBE-GGA level.

Cell: 3.571 3.571 17.939 Å, 90.00 90.00 90.00°
Positions (direct):
Ho1 0.000 0.000 0.402
Ho2 0.000 0.000 0.795
Ho3 0.000 0.000 0.205
Ho4 0.000 0.000 0.598
Zn1 0.500 0.500 0.303
Zn2 0.500 0.500 0.110
Zn3 0.500 0.500 0.697
Zn4 0.500 0.500 0.890
Zn5 0.500 0.500 0.500
Ca1 0.000 0.000 0.000

Results
raw total energy: -29.95 eV per cell

---

Below is a geometry-optimized ZnP5 structure, with properties calculated at the PBE-GGA level.

Cell: 7.776 7.776 3.871 Å, 90.00 90.00 155.69°
Positions (direct):
P1 0.940 0.060 0.000
P2 0.693 0.307 0.000
P3 0.319 0.681 0.000
P4 0.779 0.221 0.500
P5 0.487 0.513 0.500
Zn1 0.114 0.886 0.500

Results
energy above the most stable polymorph in this dataset: 18.3 kJ/mol of atoms

---

Below is a geometry-optimized Er2Pa2O5 structure, with properties calculated at the PBE-GGA level.

Cell: 4.088 4.088 10.081 Å, 90.00 90.00 90.00°
Positions (direct):
O1 0.500 0.000 0.650
O2 0.000 0.500 0.650
O3 0.000 0.500 0.350
O4 0.500 0.500 0.500
O5 0.500 0.000 0.350
Pa1 0.500 0.500 0.277
Pa2 0.500 0.500 0.723
Er1 0.000 0.000 0.500
Er2 0.000 0.000 0.000

Results
uncorrected formation energy: -2.59 eV per atom

---

Below is a geometry-optimized Tl4I3F structure, with properties calculated at the PBE-GGA level.

Cell: 7.100 7.094 13.520 Å, 90.00 90.00 90.00°
Positions (direct):
I1 0.553 0.258 0.750
I2 0.053 0.742 0.750
I3 0.553 0.258 0.250
I4 0.070 0.221 0.500
I5 0.570 0.779 0.000
I6 0.053 0.742 0.250
F1 0.500 0.807 0.500
F2 0.000 0.193 0.000
Tl1 0.559 0.753 0.276
Tl2 0.066 0.846 0.000
Tl3 0.559 0.753 0.724
Tl4 0.059 0.247 0.776
Tl5 0.655 0.269 0.000
Tl6 0.059 0.247 0.224
Tl7 0.155 0.731 0.500
Tl8 0.566 0.154 0.500

Results
uncorrected formation energy: -0.90 eV per atom
energy above the most stable polymorph in this dataset: 1.2 kJ/mol of atoms

---

Below is a geometry-optimized KTaH structure, with properties calculated at the PBE-GGA level.

Cell: 3.839 3.006 22.767 Å, 90.00 90.37 90.00°
Positions (direct):
H1 0.357 0.500 0.247
H2 0.847 0.500 0.038
H3 0.847 0.000 0.538
H4 0.357 0.000 0.747
Ta1 0.353 0.500 0.163
Ta2 0.850 0.500 0.602
Ta3 0.353 0.000 0.663
Ta4 0.850 0.000 0.102
K1 0.345 0.000 0.975
K2 0.345 0.500 0.475
K3 0.858 0.500 0.788
K4 0.858 0.000 0.288

Results
energy above the most stable polymorph in this dataset: 0.0 kJ/mol of atoms

---

Below is a geometry-optimized PuUAsP structure, with properties calculated at the PBE-GGA level.

Cell: 4.042 4.042 5.729 Å, 90.00 90.00 90.00°
Positions (direct):
As1 0.500 0.500 0.500
P1 0.000 0.000 0.000
U1 0.500 0.500 0.000
Pu1 0.000 0.000 0.500

Results
raw total energy: -39.49 eV per cell

---

Below is a geometry-optimized BaLa3W structure, with properties calculated at the PBE-GGA level.

Cell: 5.729 5.729 5.729 Å, 90.00 90.00 90.00°
Positions (direct):
La1 0.000 0.500 0.000
La2 0.000 0.000 0.500
La3 0.500 0.000 0.000
Ba1 0.000 0.000 0.000
W1 0.500 0.500 0.500

Results
energy above the most stable polymorph in this dataset: 151.5 kJ/mol of atoms

---

Below is a geometry-optimized LaNdInGe structure, with properties calculated at the PBE-GGA level.

Cell: 5.410 5.410 5.410 Å, 60.00 60.00 60.00°
Positions (direct):
In1 0.500 0.500 0.500
Ge1 0.000 0.000 0.000
La1 0.750 0.750 0.750
Nd1 0.250 0.250 0.250

Results
raw total energy: -19.13 eV per cell

---

Below is a geometry-optimized TlTe2Pd structure, with properties calculated at the PBE-GGA level.

Cell: 9.867 9.867 9.867 Å, 23.08 23.08 23.08°
Positions (direct):
Te1 0.116 0.116 0.116
Te2 0.884 0.884 0.884
Tl1 0.000 0.000 0.000
Pd1 0.500 0.500 0.500

Results
uncorrected formation energy: -0.17 eV per atom
energy above the most stable polymorph in this dataset: 9.7 kJ/mol of atoms

---

Below is a geometry-optimized La2Ti3CuO10 structure, with properties calculated at the PBE-GGA level.

Cell: 13.591 13.591 13.591 Å, 163.72 163.72 23.11°
Positions (direct):
Ti1 0.410 0.910 0.500
Ti2 0.090 0.590 0.500
Ti3 0.250 0.750 0.500
O1 0.323 0.823 0.500
O2 0.177 0.677 0.500
O3 0.251 0.251 0.000
O4 0.108 0.108 0.000
O5 0.605 0.605 0.000
O6 0.892 0.892 0.000
O7 0.022 0.522 0.500
O8 0.395 0.395 0.000
O9 0.478 0.978 0.500
O10 0.749 0.749 0.000
Cu1 0.500 0.500 0.000
La1 0.668 0.168 0.500
La2 0.832 0.332 0.500

Results
uncorrected formation energy: -2.87 eV per atom

---

| no. | spin magnetization (μB/f.u.) |
| --- | --- |
| 1 | 0.0 |
| 2 | 0.0 |
| 3 | 0.0 |
| 4 | 0.0 |
| 5 | 3.5 |
| 6 | 0.0 |
| 7 | 0.0 |
| 8 | 7.5 |
| 9 | 0.0 |
| 10 | 0.0 |
| 11 | 0.0 |
| 12 | 1.0 |